Compound: CoCuIrRh
Source: Alexandria
Functional: PBE-GGA
Structure: relaxed

Calculated values
As for the crystal system: cubic. The value obtained for the calculated formation energy is 0.20 eV per atom. The value obtained for the total energy is -6.654 eV per atom.

Structure (POSCAR):
```
CoCuIrRh
1.0
0.000 2.981 2.981
2.981 0.000 2.981
2.981 2.981 0.000
Co Cu Ir Rh
1 1 1 1
Cartesian
0.000 0.000 0.000 Co
2.981 2.981 2.981 Cu
4.471 4.471 4.471 Ir
1.490 1.490 1.490 Rh
```

Compound: NaNb2Ir2
Source: Alexandria
Functional: PBE-GGA
Structure: relaxed

Calculated values
As for the crystal system: tetragonal. The value obtained for the calculated formation energy is -0.20 eV per atom. The offset from the most stable computed form is 23 meV/atom. The value obtained for the total energy is -8.039 eV per atom.

Structure (POSCAR):
```
NaNb2Ir2
1.0
8.006 0.000 0.000
0.000 8.006 0.000
0.000 0.000 2.825
Na Nb Ir
2 4 4
Cartesian
0.000 0.000 0.000 Na
4.003 4.003 0.000 Na
1.183 2.820 0.000 Nb
2.820 6.823 0.000 Nb
5.187 1.183 0.000 Nb
6.823 5.187 0.000 Nb
1.158 5.161 1.412 Ir
2.845 1.158 1.412 Ir
5.161 6.848 1.412 Ir
6.848 2.845 1.412 Ir
```